Entry 1:
A plane-wave DFT calculation with PBE was carried out for Rb2LiBr3 after structural relaxation.

```
Rb2LiBr3
1.0
9.744 0.000 0.000
0.000 4.670 0.000
0.000 0.000 18.779
Rb Li Br
8 4 12
direct
0.083 0.250 0.213
0.246 0.250 0.953
0.254 0.750 0.453
0.417 0.750 0.713
0.583 0.250 0.287
0.746 0.250 0.547
0.754 0.750 0.047
0.917 0.750 0.787
0.132 0.250 0.633
0.368 0.750 0.133
0.632 0.250 0.867
0.868 0.750 0.367
0.012 0.750 0.602
0.134 0.750 0.073
0.177 0.250 0.767
0.323 0.750 0.267
0.366 0.250 0.573
0.488 0.250 0.102
0.512 0.750 0.898
0.634 0.750 0.427
0.677 0.250 0.733
0.823 0.750 0.233
0.866 0.250 0.927
0.988 0.250 0.398
```

## Properties
Polymorph energy (0 for the lowest one), eV/f.u.: 0.00
ΔE_f (raw), eV per atom: -1.676
M_tot, μB/f.u.: 0.00
Space group: Pnma (62)


Entry 2:
A plane-wave DFT calculation with PBE was carried out for Rb4LiBr4 after structural relaxation.

```
Rb4LiBr4
1.0
10.222 0.000 0.000
0.000 10.222 0.000
0.000 0.000 7.313
Rb Li Br
8 2 8
direct
0.023 0.250 0.061
0.250 0.023 0.561
0.250 0.477 0.561
0.477 0.250 0.061
0.523 0.750 0.939
0.750 0.523 0.439
0.750 0.977 0.439
0.977 0.750 0.939
0.250 0.750 0.250
0.750 0.250 0.750
0.040 0.750 0.449
0.250 0.540 0.051
0.250 0.960 0.051
0.460 0.750 0.449
0.540 0.250 0.551
0.750 0.040 0.949
0.750 0.460 0.949
0.960 0.250 0.551
```

## Properties
ΔE_f (raw), eV per atom: -1.436
M_tot, μB/f.u.: 0.01
Space group: P4_2/nmc (137)


Entry 3:
A plane-wave DFT calculation with PBE was carried out for RbLi2ReBr8 after structural relaxation.

```
RbLi2ReBr8
1.0
6.397 0.000 0.000
0.114 7.589 0.000
1.136 2.630 8.562
Rb Li Re Br
1 2 1 8
direct
0.000 0.000 0.000
0.481 0.517 0.831
0.519 0.483 0.169
0.000 0.500 0.500
0.081 0.496 0.769
0.189 0.800 0.385
0.332 0.334 0.458
0.492 0.768 0.953
0.508 0.232 0.047
0.668 0.666 0.542
0.811 0.200 0.615
0.919 0.504 0.231
```

## Properties
ΔE_f (raw), eV per atom: -0.894
M_tot, μB/f.u.: 1.98
Space group: P-1 (2)